The following is a DFT calculation (GGA-PBE) of a relaxed structure of Li2La2HoGe2.

Values from the calculation:
E = -31.01 eV per formula unit
SG = R-3m (166)
energy relative to the elements = -0.503 eV/atom
total magnetization = 0.004 μB/f.u.

Cell: 4.466 4.466 10.076 Å, 77.20 77.20 60.00°
Atoms (fractional coordinates):
Ho 0.000 0.000 0.000
Ge 0.726 0.726 0.822
Ge 0.274 0.274 0.178
La 0.877 0.877 0.369
La 0.123 0.123 0.631
Li 0.615 0.615 0.156
Li 0.385 0.385 0.844